No. 1
A relaxed NaLi2La crystal. Source: Alexandria via LeMat-Bulk, functional GGA-PBE.

```
4
Lattice="3.5255 0.0000 0.0000 0.0000 3.5255 0.0000 0.0000 0.0000 9.1760" Properties=species:S:1:pos:R:3 pbc="T T T"
Na 0.0000 0.0000 0.0000
Li 1.7628 1.7628 2.1747
Li 1.7628 1.7628 7.0013
La 0.0000 0.0000 4.5880
```

The space-group type is P4/mmm (123). For the total energy, the calculation gives -2.41 eV/atom. For the formation energy from the elements, the calculation gives 0.11 eV per atom. Its excess energy over the best structure of this formula in the dataset is 5.4 meV per atom.

---

No. 2
A relaxed LaTcPb4 crystal. Source: Alexandria via LeMat-Bulk, functional GGA-PBE.

```
6
Lattice="0.0000 4.5006 4.5006 4.5006 0.0000 4.5006 4.5006 4.5006 0.0000" Properties=species:S:1:pos:R:3 pbc="T T T"
La 0.0000 0.0000 0.0000
Tc 2.2503 2.2503 2.2503
Pb 5.6238 3.3774 3.3774
Pb 3.3774 5.6238 3.3774
Pb 3.3774 3.3774 5.6238
Pb 5.6238 5.6238 5.6238
```

The space-group type is F-43m (216). For the total energy, the calculation gives -4.49 eV/atom. For the formation energy from the elements, the calculation gives 0.53 eV per atom.

---

No. 3
A relaxed Ac4LaNd3S8 crystal. Source: Alexandria via LeMat-Bulk, functional GGA-PBE.

```
16
Lattice="4.1936 2.4212 6.8742 -4.1936 2.4212 6.8742 0.0000 -4.8423 6.8742" Properties=species:S:1:pos:R:3 pbc="T T T"
Ac 0.0000 0.0000 0.0000
Ac -2.0968 -1.2106 6.8742
Ac -2.0968 1.2106 13.7483
Ac 0.0000 2.4212 6.8741
La 0.0000 0.0000 10.3112
Nd -4.1936 0.0000 10.3112
Nd -2.0968 1.2106 3.4371
Nd 2.0968 1.2106 3.4371
S -2.1113 -1.2189 11.9359
S 0.0000 0.0000 5.0528
S 0.0000 -2.4379 8.6866
S -2.1113 1.2189 8.6866
S 2.1113 -1.2189 11.9358
S 0.0000 2.4379 11.9358
S 0.0000 0.0000 15.5696
S 2.1113 1.2190 8.6866
```

The space-group type is R-3m (166). For the total energy, the calculation gives -6.32 eV/atom. The formation energy (no corrections) comes out at -2028 meV/atom.

---

No. 4
A relaxed ScCuPd3 crystal. Source: Alexandria via LeMat-Bulk, functional GGA-PBE.

```
5
Lattice="4.5769 0.0000 0.0000 0.0000 4.5769 0.0000 0.0000 0.0000 4.5769" Properties=species:S:1:pos:R:3 pbc="T T T"
Sc 0.0000 0.0000 0.0000
Cu 2.2884 2.2884 2.2884
Pd 0.0000 2.2884 2.2884
Pd 2.2884 0.0000 2.2884
Pd 2.2884 2.2884 0.0000
```

The space-group type is Pm-3m (221). For the total energy, the calculation gives -5.07 eV/atom. For the formation energy from the elements, the calculation gives 0.14 eV per atom. Its excess energy over the best structure of this formula in the dataset is 712.7 meV per atom.

---

No. 5
A relaxed NiAu2Cl crystal. Source: Alexandria via LeMat-Bulk, functional GGA-PBE.

```
4
Lattice="3.1588 0.0000 0.0000 0.0000 3.1588 0.0000 0.0000 0.0000 7.0071" Properties=species:S:1:pos:R:3 pbc="T T T"
Ni 0.0000 0.0000 0.0000
Au 1.5794 1.5794 1.4569
Au 1.5794 1.5794 5.5503
Cl 0.0000 0.0000 3.5036
```

The space-group type is P4/mmm (123). For the total energy, the calculation gives -3.32 eV/atom. The formation energy (no corrections) comes out at 231 meV/atom. Its excess energy over the best structure of this formula in the dataset is 185.4 meV per atom.

---

No. 6
A relaxed TePdCl2 crystal. Source: Alexandria via LeMat-Bulk, functional GGA-PBE.

```
4
Lattice="0.0000 3.4811 3.4811 3.4811 0.0000 3.4811 3.4811 3.4811 0.0000" Properties=species:S:1:pos:R:3 pbc="T T T"
Te 0.0000 0.0000 0.0000
Pd 3.4811 3.4811 3.4811
Cl 1.7406 1.7406 1.7406
Cl 5.2217 5.2217 5.2217
```

The space-group type is Fm-3m (225). For the total energy, the calculation gives -2.64 eV/atom. The formation energy (no corrections) comes out at 372 meV/atom.

---

No. 7
A relaxed Rb2CdInBr5 crystal. Source: Alexandria via LeMat-Bulk, functional GGA-PBE.

```
18
Lattice="2.2327 -9.7994 0.0000 2.2327 9.7994 0.0000 0.0000 0.0000 15.9422" Properties=species:S:1:pos:R:3 pbc="T T T"
Rb 2.2327 8.2703 7.9711
Rb 2.2327 6.9940 2.3731
Rb 2.2327 -6.9940 10.3442
Rb 2.2327 -8.2703 0.0000
Cd 2.2327 5.2419 14.1693
Cd 2.2327 -5.2419 6.1981
In 2.2327 0.9337 4.8274
In 2.2327 -0.9337 12.7985
Br 2.2327 7.8908 14.8391
Br 2.2327 4.8752 8.1141
Br 2.2327 3.9967 4.3324
Br 2.2327 2.6442 13.4208
Br 2.2327 0.1301 9.8774
Br 2.2327 -0.1301 1.9063
Br 2.2327 -2.6442 5.4497
Br 2.2327 -3.9967 12.3035
Br 2.2327 -4.8752 0.1430
Br 2.2327 -7.8908 6.8680
```

The space-group type is Cmc2_1 (36). For the total energy, the calculation gives -2.73 eV/atom. The formation energy (no corrections) comes out at -1178 meV/atom.

---

No. 8
A relaxed CoB6N6 crystal. Source: Alexandria via LeMat-Bulk, functional GGA-PBE.

```
13
Lattice="4.5143 0.0000 0.0000 0.0000 4.5143 0.0000 0.0000 0.0000 4.5143" Properties=species:S:1:pos:R:3 pbc="T T T"
Co 0.0000 0.0000 0.0000
B 0.0000 1.1061 2.2572
B 0.0000 3.4082 2.2572
B 1.1061 2.2572 0.0000
B 2.2572 0.0000 1.1061
B 2.2572 0.0000 3.4082
B 3.4082 2.2572 0.0000
N 0.0000 2.2572 1.1368
N 0.0000 2.2572 3.3775
N 1.1368 0.0000 2.2572
N 2.2572 1.1368 0.0000
N 2.2572 3.3775 0.0000
N 3.3775 0.0000 2.2572
```

The space-group type is Pm-3 (200). For the total energy, the calculation gives -7.79 eV/atom. The formation energy (no corrections) comes out at -321 meV/atom.

---

| no. | total magnetic moment (μB/f.u.) |
| --- | --- |
| 1 | 0.00 |
| 2 | 3.39 |
| 3 | 0.00 |
| 4 | 0.00 |
| 5 | 0.71 |
| 6 | 0.00 |
| 7 | 0.00 |
| 8 | 1.04 |